Density functional theory data (PBE-GGA) for a geometry-optimized LaCdReO6 structure.

Cell lengths 5.5542, 5.5542, 5.0312 Å; angles 90.00, 90.00, 120.00 degrees
Space group P312 (No. 149)
Unique sites:
La 0.0000 0.0000 0.0000 x1
Cd 0.3333 0.6667 0.5000 x1
Re 0.6667 0.3333 0.5000 x1
O 0.3849 0.0538 0.7186 x6

Results
ΔE_f (raw): -1.9618 eV per atom
total magnetic moment: 0.00 Bohr magnetons per cell
electronic total energy: -7.300 eV/atom